No. 1
A plane-wave DFT calculation with PBE-GGA was carried out for a geometry-optimized NaPrH6Ru structure.

Output
Size of the total moment (Bohr magnetons per cell): 0.01
E_tot (eV/atom): -4.19

abc: 5.0365 5.0365 4.4977
angles: 90.00 90.00 120.00
Space group P312 (No. 149)
One atom of each set of equivalent atoms:
Na1 0.0000 0.0000 0.0000
Pr1 0.6667 0.3333 0.5000
H1 0.0942 0.3966 0.2457
Ru1 0.3333 0.6667 0.0000

=====

No. 2
A plane-wave DFT calculation with PBE-GGA was carried out for a geometry-optimized ZnGaC2Se structure.

Output
Size of the total moment (Bohr magnetons per cell): 1.63
Energy relative to the elements, uncorrected (eV/atom): 1.911
D(E_F) (states/eV/cell): 2.599

abc: 3.861 3.861 6.091
angles: 90.00 90.00 90.00
Space group P4/mmm (No. 123)
One atom of each set of equivalent atoms:
Zn1 0.000 0.000 0.000
Ga1 0.500 0.500 0.500
C1 0.000 0.500 0.000
Se1 0.000 0.000 0.500

=====

No. 3
A plane-wave DFT calculation with PBE-GGA was carried out for a geometry-optimized Hg2PtRh structure.

Output
Size of the total moment (Bohr magnetons per cell): 0.00
E_tot (eV/atom): -3.39
D(E_F) (states/eV/cell): 2.625

abc: 3.159 3.571 6.297
angles: 90.00 90.00 90.00
Space group Pmmm (No. 47)
One atom of each set of equivalent atoms:
Hg1 0.000 0.000 0.246
Pt1 0.500 0.500 0.500
Rh1 0.500 0.500 0.000